Record 1
Material: ZrPd2Au3
Method: DFT, PBE
State: optimized geometry

Lattice parameters (Å, degrees): 7.0150 8.0074 7.8032 90.00 98.63 90.00
Last column: nearest neighbours and their distance in Å.
Space group C2/c (No. 15)
Symmetry-distinct sites (fractional):
Zr 0.0000 0.1104 0.2500 x4  5 Au 2.78-2.88, 4 Pd 2.91-3.02
Pd 0.1364 0.2217 0.6316 x8  2 Pd 2.82-2.85, 5 Au 2.84-2.97, 3 Zr 2.91-3.12
Au 0.0000 0.4599 0.2500 x4  4 Au 2.71-2.78, 1 Zr 2.80, 4 Pd 2.92-2.96
Au 0.2437 0.0821 0.9853 x8  3 Au 2.70-2.78, 2 Zr 2.78-2.88, 3 Pd 2.84-2.97

Summary:
Calculated formation energy = -0.363 eV per atom
V = 18.06 Å³/atom
Total magnetic moment = 0.000 μB per cell
Electronic total energy = -5.157 eV per atom

Record 2
Material: ZrPdAu
Method: DFT, PBE
State: optimized geometry

Lattice parameters (Å, degrees): 4.6930 4.6930 5.7535 90.00 90.00 120.00
Last column: nearest neighbours and their distance in Å.
Space group P6_3/mmc (No. 194)
Symmetry-distinct sites (fractional):
Zr 0.0000 0.0000 0.0000 x2  2 Zr 2.88, 6 Au 3.07, 6 Pd 3.07
Pd 0.3333 0.6667 0.2500 x2  5 Au 2.71-2.88
Au 0.3333 0.6667 0.7500 x2  5 Pd 2.71-2.88

Summary:
Calculated formation energy = -0.536 eV per atom
V = 18.29 Å³/atom
Total magnetic moment = 0.000 μB per cell
Electronic total energy = -6.209 eV per atom

Record 3
Material: ZrPd4Au2
Method: DFT, PBE
State: optimized geometry

Lattice parameters (Å, degrees): 5.7249 6.4333 7.6071 114.70 100.51 103.10
Last column: nearest neighbours and their distance in Å.
Space group P1 (No. 1)
Symmetry-distinct sites (fractional):
Zr 0.0000 0.0000 0.0000 x1  8 Pd 2.72-2.91, 4 Au 2.87-2.99
Zr 0.3683 0.8669 0.5790 x1  8 Pd 2.78-2.90, 4 Au 2.89-2.94
Pd 0.0805 0.5869 0.7116 x1  2 Zr 2.79-2.85, 7 Pd 2.83-2.91, 3 Au 2.90-2.96
Pd 0.1527 0.1505 0.4297 x1  7 Pd 2.82-2.93, 3 Au 2.85-2.88, 2 Zr 2.88-2.90
Pd 0.5089 0.0072 0.9997 x1  4 Au 2.80-2.91, 3 Zr 2.82-2.90, 5 Pd 2.83-2.97
Pd 0.5838 0.5930 0.7137 x1  2 Zr 2.78-2.79, 3 Au 2.80-2.94, 7 Pd 2.83-2.93
Pd 0.6630 0.1564 0.4412 x1  8 Pd 2.81-2.97, 3 Au 2.83-2.85, 1 Zr 2.88
Pd 0.7345 0.7340 0.1435 x1  1 Zr 2.72, 6 Pd 2.82-2.93, 5 Au 2.84-2.95
Pd 0.8751 0.8769 0.5787 x1  6 Pd 2.81-2.93, 3 Zr 2.84-2.89, 3 Au 2.88-2.90
Pd 0.9476 0.4444 0.2890 x1  4 Au 2.82-2.91, 6 Pd 2.84-2.94, 2 Zr 2.85-2.91
Au 0.2419 0.7358 0.1518 x1  7 Pd 2.80-2.96, 2 Zr 2.87-2.89, 3 Au 2.88-2.96
Au 0.3022 0.3060 0.8604 x1  4 Au 2.85-2.95, 6 Pd 2.88-2.91, 2 Zr 2.90-2.98
Au 0.4547 0.4351 0.2945 x1  8 Pd 2.80-2.95, 2 Zr 2.94-2.99, 2 Au 2.95-2.96
Au 0.8008 0.3043 0.8658 x1  3 Au 2.85-2.93, 7 Pd 2.85-2.94, 2 Zr 2.90-2.92

Summary:
Calculated formation energy = -0.459 eV per atom
V = 16.82 Å³/atom
Total magnetic moment = 0.000 μB per cell
Electronic total energy = -5.584 eV per atom

Record 4
Material: Zr4Pd12Au
Method: DFT, PBE
State: optimized geometry

Lattice parameters (Å, degrees): 8.3910 8.3910 8.3910 90.00 90.00 90.00
Last column: nearest neighbours and their distance in Å.
Space group Im-3m (No. 229)
Symmetry-distinct sites (fractional):
Zr 0.2500 0.2500 0.2500 x8  12 Pd 2.97-3.00
Pd 0.0000 0.0000 0.3017 x12  1 Au 2.53, 4 Pd 2.68
Pd 0.0000 0.2500 0.5000 x12  8 Pd 2.68-2.97, 4 Zr 2.97
Au 0.0000 0.0000 0.0000 x2  6 Pd 2.53

Summary:
Calculated formation energy = -0.475 eV per atom
V = 17.38 Å³/atom
Total magnetic moment = 0.000 μB per cell
Electronic total energy = -6.345 eV per atom

Record 5
Material: ZrPd3Au2
Method: DFT, PBE
State: optimized geometry

Lattice parameters (Å, degrees): 5.5451 8.3940 4.4643 90.00 90.00 90.00
Last column: nearest neighbours and their distance in Å.
Space group Pnnm (No. 58)
Symmetry-distinct sites (fractional):
Zr 0.0000 0.0000 0.0000 x2  6 Pd 2.77-2.93, 4 Au 3.00
Pd 0.0000 0.5000 0.5000 x2  2 Zr 2.77, 4 Au 2.92, 4 Pd 2.97
Pd 0.2409 0.1595 0.5000 x4  5 Au 2.69-2.81, 2 Zr 2.93, 2 Pd 2.97
Au 0.2339 0.3376 0.0000 x4  7 Pd 2.69-2.92, 2 Zr 3.00

Summary:
Calculated formation energy = -0.442 eV per atom
V = 17.32 Å³/atom
Total magnetic moment = 0.000 μB per cell
Electronic total energy = -5.556 eV per atom

Record 6
Material: ZrPd3Au3
Method: DFT, PBE
State: optimized geometry

Lattice parameters (Å, degrees): 5.4547 7.0542 7.6379 63.03 69.16 74.30
Last column: nearest neighbours and their distance in Å.
Space group P-1 (No. 2)
Symmetry-distinct sites (fractional):
Zr 0.0435 0.1129 0.1461 x2  7 Pd 2.72-2.96, 4 Au 2.87-2.98
Pd 0.1145 0.4820 0.1519 x2  2 Zr 2.76-2.87, 4 Pd 2.80-3.04, 6 Au 2.81-3.05
Pd 0.2673 0.0439 0.4398 x2  2 Zr 2.72-2.85, 4 Pd 2.82-2.99, 6 Au 2.84-2.96
Pd 0.4239 0.8103 0.0003 x2  4 Pd 2.80-3.04, 5 Au 2.80-2.96, 3 Zr 2.82-2.96
Au 0.1584 0.6697 0.4280 x2  5 Pd 2.83-3.05, 6 Au 2.86-3.00, 1 Zr 2.93
Au 0.3011 0.2208 0.7138 x2  5 Pd 2.80-2.96, 5 Au 2.86-3.07, 2 Zr 2.91-2.98
Au 0.4163 0.6132 0.7327 x2  7 Pd 2.81-2.96, 1 Zr 2.87, 4 Au 2.93-3.07

Summary:
Calculated formation energy = -0.394 eV per atom
V = 17.33 Å³/atom
Total magnetic moment = 0.000 μB per cell
Electronic total energy = -5.245 eV per atom